A relaxed HfVSi2O8 crystal. Source: Alexandria, functional GGA+U.

The calculation puts the spin magnetization at 1.00 μB/f.u. As for the space group: I-4m2, No. 119. Its calculated total energy is -8.325 eV per atom.

Cell and atoms, written as CIF:
```
data_HfVSi2O8
_chemical_formula_sum 'Hf1 V1 Si2 O8'
_cell_length_a 5.486
_cell_length_b 5.486
_cell_length_c 5.486
_cell_angle_alpha 106.88
_cell_angle_beta 106.88
_cell_angle_gamma 114.78
_space_group_name_H-M_alt 'P 1'
_space_group_IT_number 1
loop_
_space_group_symop_operation_xyz
'x,y,z'
loop_
_atom_site_label
_atom_site_type_symbol
_atom_site_fract_x
_atom_site_fract_y
_atom_site_fract_z
_atom_site_occupancy
Hf1 Hf 0.000 0.000 0.000 1
V1 V 0.750 0.250 0.500 1
Si1 Si 0.250 0.750 0.500 1
Si2 Si 0.500 0.500 0.000 1
O1 O 0.060 0.379 0.319 1
O2 O 0.060 0.740 0.681 1
O3 O 0.128 0.316 0.813 1
O4 O 0.260 0.940 0.319 1
O5 O 0.503 0.316 0.187 1
O6 O 0.621 0.940 0.681 1
O7 O 0.684 0.497 0.813 1
O8 O 0.684 0.872 0.187 1
```